# CuTc2Ag PBE relaxed
data_CuTc2Ag
_chemical_formula_sum 'Cu1 Tc2 Ag1'
_cell_length_a 5.0161
_cell_length_b 5.0161
_cell_length_c 4.6060
_cell_angle_alpha 78.73
_cell_angle_beta 78.73
_cell_angle_gamma 31.39
_space_group_name_H-M_alt 'P 1'
_space_group_IT_number 1
_space_group_name_Hall 'P 1'
loop_
_atom_site_label
_atom_site_type_symbol
_atom_site_fract_x
_atom_site_fract_y
_atom_site_fract_z
_atom_site_occupancy
Cu1 Cu 0.7500 0.7500 0.7500 1
Ag1 Ag 0.2500 0.2500 0.2500 1
Tc1 Tc 0.0112 0.0112 0.9895 1
Tc2 Tc 0.4888 0.4888 0.5105 1
# Crystal system: monoclinic
# Polymorph energy (0 for the lowest one) in meV per atom: 146.1
# DOS(E_F) in states/eV/f.u.: 2.540
# Calculated total energy in eV per atom: -6.51
# Energy of formation from the pure elements in meV per atom: 414.0
# Size of the total moment in μB per formula unit: 0.00

---

# EuAl2In PBE relaxed
data_EuAl2In
_chemical_formula_sum 'Eu1 Al2 In1'
_cell_length_a 5.0668
_cell_length_b 5.0668
_cell_length_c 5.0662
_cell_angle_alpha 60.00
_cell_angle_beta 60.00
_cell_angle_gamma 60.00
_space_group_name_H-M_alt 'P 1'
_space_group_IT_number 1
_space_group_name_Hall 'P 1'
loop_
_atom_site_label
_atom_site_type_symbol
_atom_site_fract_x
_atom_site_fract_y
_atom_site_fract_z
_atom_site_occupancy
Eu1 Eu 0.5000 0.5000 0.5000 1
Al1 Al 0.7500 0.7500 0.7500 1
Al2 Al 0.2500 0.2500 0.2500 1
In1 In 0.0000 0.0000 0.0000 1
# Crystal system: cubic
# Polymorph energy (0 for the lowest one) in meV per atom: 173.5
# DOS(E_F) in states/eV/f.u.: 2.766
# Calculated total energy in eV per atom: -5.19
# Energy of formation from the pure elements in meV per atom: -63.9
# Size of the total moment in μB per formula unit: 6.87

---

What is the polymorph energy (0 for the lowest one) in the first record?
146.1 meV per atom